An optimized crystal structure of Ti2Zn2Cd. Source: Alexandria, functional PBE.

Space group: I4/mmm (139)
Calculated volume (Å³ per atom): 18.4
Electronic total energy (eV/cell): -18.3
Spin magnetization (μB/f.u.): 0.00

Cell: 3.919 3.919 6.592 Å, 72.71 72.71 90.00°
Fractional positions:
Cd1 0.000 0.000 0.000
Zn1 0.599 0.599 0.802
Zn2 0.401 0.401 0.198
Ti1 0.750 0.250 0.500
Ti2 0.250 0.750 0.500